Computed, not measured: a relaxed NaAc2BPd6 crystal at the PBE-GGA level of DFT.

POSCAR file:
```
NaAc2BPd6
1.0
6.013 0.000 0.000
-3.006 5.207 0.000
0.000 0.000 6.444
Na Ac B Pd
1 2 1 6
Direct
0.000 0.000 0.000 Na
0.333 0.667 0.795 Ac
0.667 0.333 0.205 Ac
0.000 0.000 0.500 B
0.178 0.356 0.326 Pd
0.178 0.822 0.326 Pd
0.356 0.178 0.674 Pd
0.644 0.822 0.326 Pd
0.822 0.178 0.674 Pd
0.822 0.644 0.674 Pd
```

Properties
Symmetry: P-3m1, No. 164
Magnetization: 0.00 Bohr magnetons per cell
N(E_F): 3.197 states/eV per cell
Uncorrected energy: -5.315 eV/atom

---

Computed, not measured: a relaxed Na2AcBS4 crystal at the PBE-GGA level of DFT.

POSCAR file:
```
Na2AcBS4
1.0
5.550 -6.317 0.000
5.550 6.317 0.000
-5.330 0.000 6.166
Na Ac B S
4 2 2 8
Direct
0.000 0.000 0.000 Na
0.000 0.000 0.500 Na
0.000 0.500 0.000 Na
0.500 0.000 0.500 Na
0.000 0.500 0.500 Ac
0.500 0.000 0.000 Ac
0.500 0.500 0.000 B
0.500 0.500 0.500 B
0.194 0.772 0.975 S
0.228 0.806 0.525 S
0.322 0.329 0.447 S
0.329 0.322 0.947 S
0.671 0.678 0.053 S
0.678 0.671 0.553 S
0.772 0.194 0.475 S
0.806 0.228 0.025 S
```

Properties
Symmetry: C2/c, No. 15
Magnetization: 0.00 Bohr magnetons per cell
N(E_F): 0.000 states/eV per cell
Formation energy (no corrections): -1.0897 eV per atom